Material: Tb2Ga6Ni3
Method: DFT, PBE
State: relaxed

abc: 7.4072 7.4072 4.0558
angles: 90.00 90.00 120.00
Positions (direct):
Tb  0.3333  0.6667  0.0000
Tb  0.6667  0.3333  0.0000
Ga  0.0000  0.2031  0.0000
Ga  0.0000  0.6918  0.5000
Ga  0.2031  0.0000  0.0000
Ga  0.3082  0.3082  0.5000
Ga  0.6918  0.0000  0.5000
Ga  0.7969  0.7969  0.0000
Ni  0.0000  0.3680  0.5000
Ni  0.3680  0.0000  0.5000
Ni  0.6320  0.6320  0.5000

Values from the calculation:
The total energy comes out at -4.5839 eV per atom. The density of states at the Fermi level is 5.64 states/eV/f.u. The value obtained for the formation enthalpy at 0 K is -50 kJ/mol of atoms. As for the space-group type: No. 189.